DFT (PBE-GGA) results for a relaxed structure of YMgAs2Se.

Lattice parameters (Å, degrees): 4.9045 4.9045 5.0748 90.00 90.00 90.00
Closest atoms and distances in Å follow each position.
Space group P4/mmm (No. 123)
Unique sites:
1 Y 0.0000 0.0000 0.0000 [1 per cell]  4 Se 3.47, 8 As 3.53
2 Mg 0.5000 0.5000 0.5000 [1 per cell]  4 As 2.45, 2 Se 2.54
3 As 0.0000 0.5000 0.5000 [2 per cell]  2 Mg 2.45
4 Se 0.5000 0.5000 0.0000 [1 per cell]  2 Mg 2.54

Properties
Total magnetic moment, Bohr magnetons per cell: 0.000
Raw total energy, eV per atom: -4.358
E_form (uncorrected), eV/atom: -0.19

DFT (PBE-GGA) results for a relaxed structure of TmThZrSc3.

Lattice parameters (Å, degrees): 7.4634 4.7600 9.3915 90.00 108.59 90.00
Closest atoms and distances in Å follow each position.
Space group P2_1/m (No. 11)
Unique sites:
1 Tm 0.1691 0.2500 0.2979 [2 per cell]  3 Zr 3.23-3.33, 8 Sc 3.29-3.42, 1 Th 3.35
2 Th 0.4987 0.7500 0.8714 [2 per cell]  7 Sc 3.26-3.35, 1 Tm 3.35, 2 Zr 3.37, 2 Th 3.39
3 Zr 0.4987 0.7500 0.3818 [2 per cell]  5 Sc 3.20-3.31, 3 Tm 3.23-3.33, 2 Zr 3.25, 2 Th 3.37
4 Sc 0.1725 0.7500 0.0467 [2 per cell]  1 Zr 3.31, 3 Th 3.33-3.35, 3 Tm 3.36-3.42, 5 Sc 3.41-3.43
5 Sc 0.1759 0.2500 0.7878 [2 per cell]  3 Th 3.30-3.34, 1 Zr 3.30, 6 Sc 3.32-3.43, 2 Tm 3.41
6 Sc 0.1780 0.7500 0.5413 [2 per cell]  3 Zr 3.20-3.30, 1 Th 3.26, 3 Tm 3.29-3.39, 5 Sc 3.32-3.47

Properties
Total magnetic moment, Bohr magnetons per cell: 0.000
Raw total energy, eV per atom: -6.535
Energy relative to the elements, eV/atom: 0.037

DFT (PBE-GGA) results for a relaxed structure of NdHo2Co.

Lattice parameters (Å, degrees): 3.7281 3.7281 27.7452 90.00 90.00 120.00
Closest atoms and distances in Å follow each position.
Space group R-3m (No. 166, hexagonal axes)
Unique sites:
1 Nd 0.0000 0.0000 0.0000 [3 per cell]  6 Nd 3.73, 6 Ho 3.77
2 Ho 0.0000 0.0000 0.2219 [6 per cell]  3 Co 2.64
3 Co 0.0000 0.0000 0.5000 [3 per cell]  6 Ho 2.64

Properties
Total magnetic moment, Bohr magnetons per cell: 0.000
Raw total energy, eV per atom: -5.274
Energy relative to the elements, eV/atom: -0.016

DFT (PBE-GGA) results for a relaxed structure of Li2CaHgAs.

Lattice parameters (Å, degrees): 4.8660 4.8660 5.6956 90.00 90.00 90.00
Closest atoms and distances in Å follow each position.
Space group P4/mmm (No. 123)
Unique sites:
1 Li 0.0000 0.5000 0.0000 [2 per cell]  2 As 2.43
2 Ca 0.0000 0.0000 0.5000 [1 per cell]  2 As 2.85
3 Hg 0.5000 0.5000 0.5000 [1 per cell]  4 Ca 3.44, 8 Li 3.75
4 As 0.0000 0.0000 0.0000 [1 per cell]  4 Li 2.43

Properties
Total magnetic moment, Bohr magnetons per cell: 0.003
Raw total energy, eV per atom: -2.670
Energy relative to the elements, eV/atom: -0.514

DFT (PBE-GGA) results for a relaxed structure of Li3InBr6.

Lattice parameters (Å, degrees): 6.8890 11.8241 13.4028 90.00 101.95 90.00
Closest atoms and distances in Å follow each position.
Space group C2/c (No. 15)
Unique sites:
1 Li 0.0000 0.1116 0.2500 [4 per cell]  4 Br 2.67-2.70
2 Li 0.2287 0.0779 0.9973 [8 per cell]  5 Br 2.67-2.88
3 In 0.2500 0.2500 0.5000 [4 per cell]  6 Br 2.71-2.73
4 Br 0.1232 0.2465 0.1160 [8 per cell]  3 Li 2.67-2.88, 1 In 2.72
5 Br 0.1361 0.0849 0.6187 [8 per cell]  2 Li 2.67-2.68, 1 In 2.73
6 Br 0.1483 0.4154 0.6197 [8 per cell]  3 Li 2.70-3.01, 1 In 2.71

Properties
Total magnetic moment, Bohr magnetons per cell: 0.000
Raw total energy, eV per atom: -3.088
E_form (uncorrected), eV/atom: -1.24

DFT (PBE-GGA) results for a relaxed structure of K2CeNdTe4.

Lattice parameters (Å, degrees): 8.0422 4.6442 8.6578 90.00 108.00 90.00
Closest atoms and distances in Å follow each position.
Space group P2/m (No. 10)
Unique sites:
1 K 0.0000 0.0000 0.0000 [1 per cell]  6 Te 3.57
2 K 0.5000 0.5000 0.0000 [1 per cell]  6 Te 3.56-3.57
3 Ce 0.0000 0.5000 0.5000 [1 per cell]  6 Te 3.21-3.22
4 Nd 0.5000 0.0000 0.5000 [1 per cell]  6 Te 3.20-3.21
5 Te 0.2388 0.0000 0.7143 [2 per cell]  1 Nd 3.20, 2 Ce 3.21, 3 K 3.57
6 Te 0.2627 0.5000 0.2856 [2 per cell]  2 Nd 3.21, 1 Ce 3.22, 3 K 3.56-3.57

Properties
Total magnetic moment, Bohr magnetons per cell: 1.010
Raw total energy, eV per atom: -4.565
E_form (uncorrected), eV/atom: -1.38

DFT (PBE-GGA) results for a relaxed structure of KLu2C.

Lattice parameters (Å, degrees): 3.5390 3.5390 30.9430 90.00 90.00 120.00
Closest atoms and distances in Å follow each position.
Space group R-3m (No. 166, hexagonal axes)
Unique sites:
1 K 0.0000 0.0000 0.0000 [3 per cell]  6 K 3.54, 2 Lu 3.86
2 Lu 0.0000 0.0000 0.1247 [6 per cell]  3 C 2.42
3 C 0.0000 0.0000 0.5000 [3 per cell]  6 Lu 2.42

Properties
Total magnetic moment, Bohr magnetons per cell: 0.142
Raw total energy, eV per atom: -4.895
Energy relative to the elements, eV/atom: -0.054

DFT (PBE-GGA) results for a relaxed structure of ScZnRh2.

Lattice parameters (Å, degrees): 6.3121 6.3121 6.3121 90.00 90.00 90.00
Closest atoms and distances in Å follow each position.
Space group F-43m (No. 216)
Unique sites:
1 Sc 0.0000 0.0000 0.0000 [4 per cell]  4 Rh 2.73, 4 Zn 2.73
2 Zn 0.2500 0.2500 0.2500 [4 per cell]  4 Sc 2.73, 4 Rh 2.73
3 Rh 0.0000 0.0000 0.5000 [4 per cell]  4 Rh 2.73, 4 Zn 2.73
4 Rh 0.2500 0.2500 0.7500 [4 per cell]  4 Sc 2.73, 4 Rh 2.73

Properties
Total magnetic moment, Bohr magnetons per cell: 0.014
Raw total energy, eV per atom: -5.981
Energy relative to the elements, eV/atom: -0.404

DFT (PBE-GGA) results for a relaxed structure of La2AgBiOs.

Lattice parameters (Å, degrees): 5.5800 5.5800 5.1949 90.00 90.00 90.00
Closest atoms and distances in Å follow each position.
Space group P4/mmm (No. 123)
Unique sites:
1 La 0.0000 0.5000 0.0000 [2 per cell]  2 Os 2.79
2 Ag 0.0000 0.0000 0.5000 [1 per cell]  8 La 3.81, 4 Bi 3.95
3 Bi 0.5000 0.5000 0.5000 [1 per cell]  2 Os 2.60
4 Os 0.5000 0.5000 0.0000 [1 per cell]  2 Bi 2.60, 4 La 2.79

Properties
Total magnetic moment, Bohr magnetons per cell: 0.000
Raw total energy, eV per atom: -5.592
Energy relative to the elements, eV/atom: -0.029

DFT (PBE-GGA) results for a relaxed structure of ErHfMn.

Lattice parameters (Å, degrees): 3.2414 3.2414 11.8515 90.00 90.00 90.00
Closest atoms and distances in Å follow each position.
Space group I4mm (No. 107)
Unique sites:
1 Er 0.0000 0.0000 0.0000 [2 per cell]  4 Mn 2.91, 1 Hf 3.10, 4 Er 3.24
2 Hf 0.0000 0.0000 0.2617 [2 per cell]  4 Mn 2.64
3 Mn 0.0000 0.0000 0.6508 [2 per cell]  4 Hf 2.64, 4 Er 2.91

Properties
Total magnetic moment, Bohr magnetons per cell: 0.000
Raw total energy, eV per atom: -7.816
Energy relative to the elements, eV/atom: 0.079

DFT (PBE-GGA) results for a relaxed structure of YGaPbBr2.

Lattice parameters (Å, degrees): 5.2632 5.2632 5.9029 90.00 90.00 90.00
Closest atoms and distances in Å follow each position.
Space group P4/mmm (No. 123)
Unique sites:
1 Y 0.0000 0.0000 0.0000 [1 per cell]  2 Ga 2.95
2 Ga 0.0000 0.0000 0.5000 [1 per cell]  4 Br 2.63
3 Pb 0.5000 0.5000 0.0000 [1 per cell]  4 Y 3.72, 8 Br 3.95
4 Br 0.0000 0.5000 0.5000 [2 per cell]  2 Ga 2.63

Properties
Total magnetic moment, Bohr magnetons per cell: 0.000
Raw total energy, eV per atom: -3.394
E_form (uncorrected), eV/atom: -0.09

DFT (PBE-GGA) results for a relaxed structure of ErPuTlIr.

Lattice parameters (Å, degrees): 7.1943 7.1943 7.1943 90.00 90.00 90.00
Closest atoms and distances in Å follow each position.
Space group F-43m (No. 216)
Unique sites:
1 Er 0.0000 0.0000 0.0000 [4 per cell]  4 Tl 3.12, 4 Ir 3.12
2 Pu 0.0000 0.0000 0.5000 [4 per cell]  4 Tl 3.12, 4 Ir 3.12
3 Tl 0.2500 0.2500 0.7500 [4 per cell]  4 Er 3.12, 4 Pu 3.12
4 Ir 0.2500 0.2500 0.2500 [4 per cell]  4 Er 3.12, 4 Pu 3.12

Properties
Total magnetic moment, Bohr magnetons per cell: 21.537
Raw total energy, eV per atom: -7.788
Energy relative to the elements, eV/atom: -0.257

DFT (PBE-GGA) results for a relaxed structure of Ba2VRu2.

Lattice parameters (Å, degrees): 6.4284 6.4284 7.0491 90.00 90.00 90.00
Closest atoms and distances in Å follow each position.
Space group I4/mmm (No. 139)
Unique sites:
1 Ba 0.0000 0.5000 0.2500 [4 per cell]  4 Ru 3.24, 2 Ba 3.52
2 V 0.0000 0.0000 0.0000 [2 per cell]  2 Ru 2.14
3 Ru 0.0000 0.0000 0.3031 [4 per cell]  1 V 2.14

Properties
Total magnetic moment, Bohr magnetons per cell: 1.497
Raw total energy, eV per atom: -5.509
Energy relative to the elements, eV/atom: 0.794